No. 1
# Cs2KCu3As2 GGA-PBE relaxed
# Electronic total energy in eV/cell: -75.7
data_Cs2KCu3As2
_space_group_name_H-M_alt 'R -3 m'
_space_group_IT_number 166
_space_group_name_Hall '-R 3 2"'
_cell_length_a 6.2280
_cell_length_b 6.2280
_cell_length_c 20.9559
_cell_angle_alpha 90.00
_cell_angle_beta 90.00
_cell_angle_gamma 120.00
loop_
_atom_site_label
_atom_site_type_symbol
_atom_site_fract_x
_atom_site_fract_y
_atom_site_fract_z
Cs1 Cs 0.0000 0.0000 0.0903
K1 K 0.0000 0.0000 0.5000
Cu1 Cu 0.0000 0.5000 0.0000
As1 As 0.0000 0.0000 0.2602

No. 2
# HfHgBi GGA-PBE relaxed
# Energy above the lowest structure with this stoichiometry in meV/atom: 0
# Spin magnetization in μB per formula unit: 0.28
data_HfHgBi
_space_group_name_H-M_alt 'F -4 3 m'
_space_group_IT_number 216
_space_group_name_Hall 'F -4 2 3'
_cell_length_a 6.986
_cell_length_b 6.986
_cell_length_c 6.986
_cell_angle_alpha 90.00
_cell_angle_beta 90.00
_cell_angle_gamma 90.00
loop_
_atom_site_label
_atom_site_type_symbol
_atom_site_fract_x
_atom_site_fract_y
_atom_site_fract_z
Hf1 Hf 0.000 0.000 0.000
Hg1 Hg 0.250 0.250 0.250
Bi1 Bi 0.250 0.250 0.750